No. 1
LiNb5N6 | PBE | optimized geometry

Values from the calculation:
Total DFT energy (no corrections) (eV/atom): -9.515
ρ (Mg/m³): 7.2

Structure (CIF):
```
data_LiNb5N6
_cell_length_a 5.374
_cell_length_b 9.328
_cell_length_c 5.390
_cell_angle_alpha 90.00
_cell_angle_beta 109.44
_cell_angle_gamma 90.00
_space_group_name_H-M_alt 'C 1 2/m 1'
_space_group_IT_number 12
_space_group_name_Hall '-C 2y'
loop_
_atom_site_label
_atom_site_fract_x
_atom_site_fract_y
_atom_site_fract_z
Li1 0.000 0.000 0.000
Nb1 0.000 0.161 0.500
Nb2 0.000 0.329 0.000
Nb3 0.000 0.500 0.500
N1 0.247 0.164 0.249
N2 0.250 0.000 0.763
```


No. 2
Ca4RuAu | PBE | optimized geometry

Values from the calculation:
ρ (Mg/m³): 4.8
ΔH_f (0 K) (eV/atom): 0.731

Structure (CIF):
```
data_Ca4RuAu
_cell_length_a 8.571
_cell_length_b 8.571
_cell_length_c 8.571
_cell_angle_alpha 90.00
_cell_angle_beta 90.00
_cell_angle_gamma 90.00
_space_group_name_H-M_alt 'F -4 3 m'
_space_group_IT_number 216
_space_group_name_Hall 'F -4 2 3'
loop_
_atom_site_label
_atom_site_fract_x
_atom_site_fract_y
_atom_site_fract_z
Ca1 0.124 0.124 0.124
Ru1 0.250 0.250 0.750
Au1 0.000 0.000 0.500
```